# 1
Computed, not measured: a geometry-optimized Cr2NiP structure at the GGA-PBE level of DFT.

Values from the calculation:
Its magnetic moment is 0.1 μB per cell. The value obtained for the energy relative to the elements is -0.156 eV per atom.

a b c (Å): 2.6529 3.7056 4.7736
angles (deg): 90.00 105.33 90.00
Atoms (fractional coordinates):
Cr  0.0000  0.0000  0.0000
Cr  0.3354  0.5000  0.7150
Ni  0.6142  0.5000  0.2393
P  0.7341  0.0000  0.4945

# 2
Computed, not measured: a geometry-optimized CrNi2P structure at the GGA-PBE level of DFT.

Values from the calculation:
Its magnetic moment is 3.3 μB per cell. The value obtained for the energy relative to the elements is -0.031 eV per atom.

a b c (Å): 4.8249 8.5471 2.5795
angles (deg): 90.00 121.25 90.00
Atoms (fractional coordinates):
Cr  0.0000  0.0000  0.0000
Cr  0.5000  0.5000  0.0000
Ni  0.2500  0.2500  0.5000
Ni  0.2500  0.7500  0.5000
Ni  0.7500  0.2500  0.5000
Ni  0.7500  0.7500  0.5000
P  0.0000  0.5000  0.0000
P  0.5000  0.0000  0.0000

# 3
Computed, not measured: a geometry-optimized CrNiP structure at the GGA-PBE level of DFT.

Values from the calculation:
Its magnetic moment is 5.3 μB per cell. The value obtained for the energy relative to the elements is -0.032 eV per atom.

a b c (Å): 2.8563 3.4938 7.1853
angles (deg): 90.00 90.00 90.00
Atoms (fractional coordinates):
Cr  0.0000  0.0000  0.0000
Cr  0.5000  0.5000  0.5000
Ni  0.0000  0.0000  0.6620
Ni  0.5000  0.5000  0.1620
P  0.0000  0.0000  0.3366
P  0.5000  0.5000  0.8366